# Tb8Dy2Ho3

Crystalline Tb8Dy2Ho3 at its relaxed geometry (GGA-PBE, Alexandria via LeMat-Bulk).

Unit cell a=20.1449 b=7.5998 c=5.5908 alpha=90.00 beta=90.02 gamma=90.00
Space group C2/m (No. 12)
Asymmetric unit:
1 Tb 0.1072 0.2100 0.0002
2 Tb 0.1323 0.5000 0.4998
3 Tb 0.1679 0.0000 0.5005
4 Dy 0.2411 0.5000 0.9994
5 Ho 0.0000 0.2144 0.5000
6 Ho 0.0000 0.5000 0.0000

Calculated values
E_form in eV/atom: 0.23

# Tb3Dy2Ho2

Crystalline Tb3Dy2Ho2 at its relaxed geometry (GGA-PBE, Alexandria via LeMat-Bulk).

Unit cell a=17.3058 b=3.4816 c=8.4880 alpha=90.00 beta=119.22 gamma=90.00
Space group C2/m (No. 12)
Asymmetric unit:
1 Tb 0.0000 0.0000 0.0000
2 Tb 0.2121 0.0000 0.3017
3 Dy 0.1463 0.0000 0.8243
4 Ho 0.0651 0.5000 0.4083

Calculated values
E_form in eV/atom: 0.11
E above lowest polymorph in eV/atom: 0.0966